DFT (meta-GGA SCAN) results for AlInRu2 at its PBEsol-relaxed geometry.

Values from the calculation:
The calculation puts the total magnetization at 0.0 μB/f.u. The value obtained for the total energy is -27.98 eV/atom. The calculated formation energy comes out at -283.7 meV per atom.

```
AlInRu2
1.0
4.366 0.000 0.000
0.000 4.366 0.000
0.000 0.000 3.096
Al In Ru
1 1 2
Cartesian
0.000 0.000 0.000
2.183 2.183 0.000
0.000 2.183 1.548
2.183 0.000 1.548
```